Computed, not measured: a geometry-optimized LaGeOs2I structure at the GGA-PBEsol level of DFT.

Output
* SG: P4/mmm, No. 123
* E_form (uncorrected): 2.134 eV/atom

Unit cell a=4.866 b=4.866 c=6.001 alpha=90.00 beta=90.00 gamma=90.00
Fractional positions:
La1 0.000 0.000 0.000
Ge1 0.500 0.500 0.500
Os1 0.000 0.500 0.000
Os2 0.500 0.000 0.000
I1 0.000 0.000 0.500

Computed, not measured: a geometry-optimized LaGeTeI2 structure at the GGA-PBEsol level of DFT.

Output
* SG: P4/mmm, No. 123
* E_form (uncorrected): -0.214 eV/atom

Unit cell a=6.066 b=6.066 c=6.189 alpha=90.00 beta=90.00 gamma=90.00
Fractional positions:
La1 0.000 0.000 0.000
Ge1 0.500 0.500 0.500
Te1 0.000 0.000 0.500
I1 0.000 0.500 0.000
I2 0.500 0.000 0.000

Computed, not measured: a geometry-optimized La2TiGeI structure at the GGA-PBEsol level of DFT.

Output
* SG: P4/mmm, No. 123
* E_form (uncorrected): -0.239 eV/atom

Unit cell a=5.508 b=5.508 c=4.771 alpha=90.00 beta=90.00 gamma=90.00
Fractional positions:
La1 0.000 0.500 0.000
La2 0.500 0.000 0.000
Ti1 0.000 0.000 0.000
Ge1 0.000 0.000 0.500
I1 0.500 0.500 0.500

Computed, not measured: a geometry-optimized Li2Ge2I structure at the GGA-PBEsol level of DFT.

Output
* SG: I4/mmm, No. 139
* E_form (uncorrected): 0.060 eV/atom

Unit cell a=6.277 b=6.277 c=6.277 alpha=138.51 beta=138.51 gamma=60.12
Fractional positions:
Li1 0.250 0.750 0.500
Li2 0.750 0.250 0.500
Ge1 0.108 0.108 0.000
Ge2 0.892 0.892 0.000
I1 0.500 0.500 0.000

Computed, not measured: a geometry-optimized MgGeI2 structure at the GGA-PBEsol level of DFT.

Output
* SG: Fm-3m, No. 225
* E_form (uncorrected): 0.007 eV/atom

Unit cell a=5.291 b=5.291 c=5.291 alpha=60.00 beta=60.00 gamma=60.00
Fractional positions:
Mg1 0.000 0.000 0.000
Ge1 0.500 0.500 0.500
I1 0.250 0.250 0.250
I2 0.750 0.750 0.750

Computed, not measured: a geometry-optimized Mg2MnGeI structure at the GGA-PBEsol level of DFT.

Output
* SG: P4/mmm, No. 123
* E_form (uncorrected): 0.286 eV/atom

Unit cell a=5.351 b=5.351 c=4.495 alpha=90.00 beta=90.00 gamma=90.00
Fractional positions:
Mg1 0.000 0.500 0.000
Mg2 0.500 0.000 0.000
Mn1 0.000 0.000 0.000
Ge1 0.000 0.000 0.500
I1 0.500 0.500 0.500

Number 1: magnetic moment 1.36 μB/cell. Number 2: magnetic moment 1.00 μB/cell. Number 3: magnetic moment 0.00 μB/cell. Number 4: magnetic moment 0.00 μB/cell. Number 5: magnetic moment 0.00 μB/cell. Number 6: magnetic moment 2.85 μB/cell.